Computed, not measured: a geometry-optimized LaRu5 structure at the GGA-PBE level of DFT.

Structure (POSCAR):
```
LaRu5
1.0
3.9776 0.0000 0.0000
0.0000 12.6726 0.0000
0.0000 0.0000 3.9678
La Ru
2 10
direct
0.0000 0.0000 0.0000
0.5000 0.5000 0.0000
0.0000 0.1857 0.5000
0.0000 0.3135 0.0000
0.0000 0.5000 0.5000
0.0000 0.6865 0.0000
0.0000 0.8143 0.5000
0.5000 0.0000 0.5000
0.5000 0.1865 0.0000
0.5000 0.3143 0.5000
0.5000 0.6857 0.5000
0.5000 0.8135 0.0000
```

Properties
- Space-group type: No. 65
- Calculated formation energy: 0.189 eV per atom

---

Computed, not measured: a geometry-optimized Sc2Re2B structure at the GGA-PBE level of DFT.

Structure (POSCAR):
```
Sc2Re2B
1.0
3.4433 0.0000 0.0000
0.0000 3.4433 0.0000
0.0000 0.0000 15.6998
Sc Re B
4 4 2
direct
0.0000 0.0000 0.0928
0.0000 0.0000 0.9072
0.5000 0.5000 0.4072
0.5000 0.5000 0.5928
0.0000 0.5000 0.2500
0.0000 0.5000 0.7500
0.5000 0.0000 0.2500
0.5000 0.0000 0.7500
0.0000 0.0000 0.5000
0.5000 0.5000 0.0000
```

Properties
- ΔE to the lowest computed polymorph: 0.00 eV/f.u.
- Space-group type: No. 139
- Calculated formation energy: 0.544 eV per atom

---

| no. | DOS(E_F) (states/eV per cell) | VASP energy (eV/atom) |
| --- | --- | --- |
| 1 | 13.82 | -8.36 |
| 2 | 7.16 | -8.30 |